# Pr6Ir3ICl2

A relaxed Pr6Ir3ICl2 crystal (GGA-PBE, the Alexandria database).

Unit cell a=19.779 b=4.198 c=9.210 alpha=90.00 beta=110.59 gamma=90.00
Space group C2/m (No. 12)
Unique sites:
Pr: 0.011 0.000 0.214 [4 per cell]
Pr: 0.157 0.500 0.109 [4 per cell]
Pr: 0.181 0.500 0.552 [4 per cell]
Ir: 0.000 0.500 0.000 [2 per cell]
Ir: 0.166 0.000 0.329 [4 per cell]
I: 0.000 0.500 0.500 [2 per cell]
Cl: 0.169 0.000 0.837 [4 per cell]

Calculated values
* energy relative to the elements, uncorrected: -105.6 kJ/mol of atoms
* size of the total moment: 0.0 μB/f.u.
* E_tot: -73.6 eV/f.u.
* calculated volume: 357.9 Å³/f.u.